Entry 1:
A plane-wave DFT calculation with PBE-GGA was carried out for crystalline Li2MnP at its relaxed geometry.

abc: 8.409 8.409 8.409
angles: 19.98 19.98 19.98
Sites, in units of the cell vectors:
1 Li 0.000 0.000 0.000
2 Li 0.224 0.224 0.224
3 Mn 0.471 0.471 0.471
4 P 0.746 0.746 0.746

Calculated values
The symmetry is R3m (160). The calculation puts the electronic total energy at -18.55 eV for the cell shown. As for the calculated formation energy: -0.04 eV per atom.

---

Entry 2:
A plane-wave DFT calculation with PBE-GGA was carried out for crystalline LiMnP2 at its relaxed geometry.

abc: 6.375 6.375 6.375
angles: 136.76 136.76 62.81
Sites, in units of the cell vectors:
1 Li 0.121 0.121 0.000
2 Li 0.879 0.879 0.000
3 Mn 0.403 0.403 0.000
4 Mn 0.597 0.597 0.000
5 P 0.151 0.651 0.500
6 P 0.349 0.849 0.500
7 P 0.651 0.151 0.500
8 P 0.849 0.349 0.500

Calculated values
The symmetry is I4/mmm (139). The calculation puts the electronic total energy at -43.83 eV for the cell shown. As for the calculated formation energy: 0.00 eV per atom.

---

Entry 3:
A plane-wave DFT calculation with PBE-GGA was carried out for crystalline Li2MnP at its relaxed geometry.

abc: 5.098 5.098 5.098
angles: 148.53 136.33 54.81
Sites, in units of the cell vectors:
1 Li 0.229 0.229 0.000
2 Li 0.771 0.771 0.000
3 Mn 0.500 0.000 0.500
4 P 0.000 0.500 0.500

Calculated values
The symmetry is Immm (71). The calculation puts the electronic total energy at -19.00 eV for the cell shown. As for the calculated formation energy: -0.15 eV per atom.

---

Entry 4:
A plane-wave DFT calculation with PBE-GGA was carried out for crystalline Li2MnP at its relaxed geometry.

abc: 2.875 4.234 4.699
angles: 90.00 105.60 90.00
Sites, in units of the cell vectors:
1 Li 0.162 0.000 0.271
2 Li 0.838 0.000 0.729
3 Mn 0.500 0.500 0.000
4 P 0.000 0.500 0.500

Calculated values
The symmetry is P2/m (10). The calculation puts the electronic total energy at -18.90 eV for the cell shown. As for the calculated formation energy: -0.12 eV per atom.

---

Entry 5:
A plane-wave DFT calculation with PBE-GGA was carried out for crystalline LiMnP2 at its relaxed geometry.

abc: 4.042 4.042 4.042
angles: 60.00 60.00 60.00
Sites, in units of the cell vectors:
1 Li 0.000 0.000 0.000
2 Mn 0.500 0.500 0.500
3 P 0.250 0.250 0.250
4 P 0.750 0.750 0.750

Calculated values
The symmetry is Fm-3m (225). The calculation puts the electronic total energy at -22.49 eV for the cell shown. As for the calculated formation energy: -0.15 eV per atom.

---

Entry 6:
A plane-wave DFT calculation with PBE-GGA was carried out for crystalline Li2MnP at its relaxed geometry.

abc: 5.044 5.044 2.647
angles: 100.31 100.31 125.42
Sites, in units of the cell vectors:
1 Li 0.000 0.500 0.000
2 Li 0.500 0.000 0.000
3 Mn 0.000 0.000 0.500
4 P 0.500 0.500 0.500

Calculated values
The symmetry is C2/m (12). The calculation puts the electronic total energy at -18.72 eV for the cell shown. As for the calculated formation energy: -0.08 eV per atom.

---

Entry 7:
A plane-wave DFT calculation with PBE-GGA was carried out for crystalline LiMnP3 at its relaxed geometry.

abc: 4.224 4.224 4.224
angles: 90.00 90.00 90.00
Sites, in units of the cell vectors:
1 Li 0.000 0.000 0.000
2 Mn 0.500 0.500 0.500
3 P 0.000 0.000 0.500
4 P 0.000 0.500 0.000
5 P 0.500 0.000 0.000

Calculated values
The symmetry is Pm-3m (221). The calculation puts the electronic total energy at -21.35 eV for the cell shown. As for the calculated formation energy: 1.19 eV per atom.

---

Entry 8:
A plane-wave DFT calculation with PBE-GGA was carried out for crystalline LiMnP2 at its relaxed geometry.

abc: 3.282 3.282 4.667
angles: 90.00 90.00 90.00
Sites, in units of the cell vectors:
1 Li 0.000 0.000 0.000
2 Mn 0.500 0.500 0.310
3 P 0.000 0.000 0.494
4 P 0.500 0.500 0.812

Calculated values
The symmetry is P4mm (99). The calculation puts the electronic total energy at -22.51 eV for the cell shown. As for the calculated formation energy: -0.15 eV per atom.

---

Entry 9:
A plane-wave DFT calculation with PBE-GGA was carried out for crystalline Li2MnP at its relaxed geometry.

abc: 4.149 4.149 4.149
angles: 60.00 60.00 60.00
Sites, in units of the cell vectors:
1 Li 0.000 0.000 0.000
2 Li 0.250 0.250 0.250
3 Mn 0.750 0.750 0.750
4 P 0.500 0.500 0.500

Calculated values
The symmetry is F-43m (216). The calculation puts the electronic total energy at -19.61 eV for the cell shown. As for the calculated formation energy: -0.30 eV per atom.

---

Entry 10:
A plane-wave DFT calculation with PBE-GGA was carried out for crystalline Li2MnP at its relaxed geometry.

abc: 3.601 3.601 4.117
angles: 90.00 90.00 90.00
Sites, in units of the cell vectors:
1 Li 0.000 0.500 0.000
2 Li 0.500 0.000 0.000
3 Mn 0.000 0.000 0.500
4 P 0.500 0.500 0.500

Calculated values
The symmetry is P4/mmm (123). The calculation puts the electronic total energy at -19.59 eV for the cell shown. As for the calculated formation energy: -0.30 eV per atom.

---

Entry 11:
A plane-wave DFT calculation with PBE-GGA was carried out for crystalline LiMnP4 at its relaxed geometry.

abc: 5.070 5.070 5.070
angles: 60.00 60.00 60.00
Sites, in units of the cell vectors:
1 Li 0.000 0.000 0.000
2 Mn 0.750 0.750 0.750
3 P 0.375 0.375 0.375
4 P 0.375 0.375 0.874
5 P 0.375 0.874 0.375
6 P 0.874 0.375 0.375

Calculated values
The symmetry is F-43m (216). The calculation puts the electronic total energy at -30.71 eV for the cell shown. As for the calculated formation energy: 0.34 eV per atom.

---

Entry 12:
A plane-wave DFT calculation with PBE-GGA was carried out for crystalline Li2MnP at its relaxed geometry.

abc: 2.437 2.437 8.272
angles: 90.00 90.00 90.00
Sites, in units of the cell vectors:
1 Li 0.000 0.000 0.232
2 Li 0.000 0.000 0.768
3 Mn 0.500 0.500 0.500
4 P 0.500 0.500 0.000

Calculated values
The symmetry is P4/mmm (123). The calculation puts the electronic total energy at -18.01 eV for the cell shown. As for the calculated formation energy: 0.10 eV per atom.

---

Entry 13:
A plane-wave DFT calculation with PBE-GGA was carried out for crystalline Li2MnP at its relaxed geometry.

abc: 8.894 8.894 8.894
angles: 18.06 18.06 18.06
Sites, in units of the cell vectors:
1 Li 0.240 0.240 0.240
2 Li 0.760 0.760 0.760
3 Mn 0.000 0.000 0.000
4 P 0.500 0.500 0.500

Calculated values
The symmetry is R-3m (166). The calculation puts the electronic total energy at -17.94 eV for the cell shown. As for the calculated formation energy: 0.12 eV per atom.

---

Entry 14:
A plane-wave DFT calculation with PBE-GGA was carried out for crystalline LiMnP2 at its relaxed geometry.

abc: 4.248 4.248 4.248
angles: 60.00 60.00 60.00
Sites, in units of the cell vectors:
1 Li 0.000 0.000 0.000
2 Mn 0.250 0.250 0.250
3 P 0.500 0.500 0.500
4 P 0.750 0.750 0.750

Calculated values
The symmetry is F-43m (216). The calculation puts the electronic total energy at -21.06 eV for the cell shown. As for the calculated formation energy: 0.21 eV per atom.

---

Entry 15:
A plane-wave DFT calculation with PBE-GGA was carried out for crystalline LiMnP2 at its relaxed geometry.

abc: 3.458 4.627 8.011
angles: 90.00 90.00 90.00
Sites, in units of the cell vectors:
1 Li 0.250 0.250 0.060
2 Li 0.750 0.750 0.940
3 Mn 0.250 0.250 0.638
4 Mn 0.750 0.750 0.362
5 P 0.250 0.750 0.173
6 P 0.250 0.750 0.567
7 P 0.750 0.250 0.433
8 P 0.750 0.250 0.827

Calculated values
The symmetry is Pmmn (59). The calculation puts the electronic total energy at -45.73 eV for the cell shown. As for the calculated formation energy: -0.24 eV per atom.

---

Entry 16:
A plane-wave DFT calculation with PBE-GGA was carried out for crystalline LiMnP2 at its relaxed geometry.

abc: 2.513 2.513 9.780
angles: 90.00 90.00 94.82
Sites, in units of the cell vectors:
1 Li 0.000 0.000 0.000
2 Mn 0.500 0.500 0.236
3 P 0.000 0.000 0.413
4 P 0.500 0.500 0.799

Calculated values
The symmetry is Cmm2 (35). The calculation puts the electronic total energy at -21.45 eV for the cell shown. As for the calculated formation energy: 0.11 eV per atom.

---

Entry 17:
A plane-wave DFT calculation with PBE-GGA was carried out for crystalline LiMnP3 at its relaxed geometry.

abc: 4.458 4.458 4.458
angles: 90.00 90.00 90.00
Sites, in units of the cell vectors:
1 Li 0.000 0.000 0.000
2 Mn 0.500 0.500 0.500
3 P 0.000 0.500 0.500
4 P 0.500 0.000 0.500
5 P 0.500 0.500 0.000

Calculated values
The symmetry is Pm-3m (221). The calculation puts the electronic total energy at -26.17 eV for the cell shown. As for the calculated formation energy: 0.23 eV per atom.

---

Entry 18:
A plane-wave DFT calculation with PBE-GGA was carried out for crystalline LiMn2P at its relaxed geometry.

abc: 2.562 3.931 4.570
angles: 90.00 95.01 90.00
Sites, in units of the cell vectors:
1 Li 0.000 0.000 0.000
2 Mn 0.307 0.500 0.746
3 Mn 0.693 0.500 0.254
4 P 0.500 0.000 0.500

Calculated values
The symmetry is P2/m (10). The calculation puts the electronic total energy at -25.56 eV for the cell shown. As for the calculated formation energy: 0.03 eV per atom.

---

Entry 19:
A plane-wave DFT calculation with PBE-GGA was carried out for crystalline LiMnP2 at its relaxed geometry.

abc: 3.954 3.954 5.248
angles: 102.89 102.89 46.52
Sites, in units of the cell vectors:
1 Li 0.000 0.000 0.000
2 Mn 0.500 0.500 0.500
3 P 0.235 0.235 0.673
4 P 0.765 0.765 0.327

Calculated values
The symmetry is C2/m (12). The calculation puts the electronic total energy at -23.23 eV for the cell shown. As for the calculated formation energy: -0.33 eV per atom.

---

Entry 20:
A plane-wave DFT calculation with PBE-GGA was carried out for crystalline LiMn4P at its relaxed geometry.

abc: 4.612 4.612 4.612
angles: 60.00 60.00 60.00
Sites, in units of the cell vectors:
1 Li 0.000 0.000 0.000
2 Mn 0.126 0.625 0.625
3 Mn 0.625 0.126 0.625
4 Mn 0.625 0.625 0.126
5 Mn 0.625 0.625 0.625
6 P 0.250 0.250 0.250

Calculated values
The symmetry is F-43m (216). The calculation puts the electronic total energy at -41.94 eV for the cell shown. As for the calculated formation energy: 0.34 eV per atom.

---

no.,N(E_F) (states/eV/f.u.)
1,1.83
2,2.44
3,2.57
4,2.01
5,2.47
6,2.20
7,6.06
8,1.97
9,1.60
10,1.42
11,3.96
12,1.73
13,3.96
14,3.42
15,1.61
16,2.20
17,3.08
18,2.91
19,2.23
20,5.93